Below is a relaxed structure of BiPI2O, with properties calculated at the PBE-GGA level.

Cell: 6.2771 6.2771 4.2815 Å, 90.00 90.00 90.00°
With the nearest neighbours (Å) after each atom.
Sites, in units of the cell vectors:
I 0.0000 0.5000 0.0000  2 Bi 3.14
I 0.5000 0.0000 0.0000  2 Bi 3.14
P 0.5000 0.5000 0.5000  8 I 3.80
Bi 0.0000 0.0000 0.0000  2 O 2.14
O 0.0000 0.0000 0.5000  2 Bi 2.14

Computed properties:
E above lowest polymorph (meV/atom): 429
Energy relative to the elements, uncorrected (eV/f.u.): 1.89

Below is a relaxed structure of Hf2NbSn4, with properties calculated at the PBE-GGA level.

Cell: 3.1965 5.7925 9.6933 Å, 107.71 99.49 90.00°
With the nearest neighbours (Å) after each atom.
Sites, in units of the cell vectors:
Hf 0.7510 0.7625 0.5019  6 Sn 3.05-3.12, 4 Hf 3.19-3.20
Hf 0.2490 0.2375 0.4981  6 Sn 3.05-3.12, 4 Hf 3.19-3.20
Nb 0.0000 0.0000 0.0000  6 Sn 2.85-2.88
Sn 0.8874 0.2265 0.7747  1 Nb 2.85, 3 Hf 3.11, 2 Sn 3.16
Sn 0.1126 0.7735 0.2253  1 Nb 2.85, 3 Hf 3.11, 2 Sn 3.16
Sn 0.6173 0.3085 0.2345  2 Nb 2.88, 3 Hf 3.05-3.12, 4 Sn 3.16-3.20
Sn 0.3827 0.6915 0.7655  2 Nb 2.88, 3 Hf 3.05-3.12, 4 Sn 3.16-3.20

Computed properties:
E above lowest polymorph (meV/atom): 0
Formation energy from the elements (eV per atom): -0.01

Below is a relaxed structure of OsC2SeN, with properties calculated at the PBE-GGA level.

Cell: 3.6592 3.9455 3.6592 Å, 90.00 90.00 90.00°
With the nearest neighbours (Å) after each atom.
Sites, in units of the cell vectors:
C 0.0000 0.0000 0.5000  2 N 1.83
C 0.5000 0.0000 0.0000  2 N 1.83
Os 0.5000 0.5000 0.5000  4 Se 2.59, 8 C 2.69
Se 0.0000 0.5000 0.0000  2 N 1.97
N 0.0000 0.0000 0.0000  4 C 1.83, 2 Se 1.97

Computed properties:
Energy relative to the elements, uncorrected (eV/f.u.): 13.74

The records above give, respectively, magnetic moment values of 0.46 0.00 0.00 μB per atom.